1.
Compound: NiBPd4
Source: the Alexandria database
Functional: PBE
Structure: optimized geometry

Summary:
theoretical density: 9.45 g/cm3
density of states at the Fermi level: 6.3 states/eV/f.u.
DFT formation energy: 0.21 eV per formula unit
calculated volume: 14.50 A^3/atom

Unit cell a=5.6152 b=5.6270 c=6.6692 alpha=111.14 beta=111.08 gamma=98.36
With the nearest neighbours (Å) after each atom.
Atoms (fractional coordinates):
Ni (0.3597, 0.6097, 0.2194)  8 Pd 2.47-2.61
Ni (0.6403, 0.3903, 0.7806)  8 Pd 2.47-2.61
B (0.0788, 0.8288, 0.6576)  6 Pd 2.10-2.21
B (0.9212, 0.1712, 0.3424)  6 Pd 2.10-2.21
Pd (0.9435, 0.2422, 0.0599)  1 B 2.10
Pd (0.6163, 0.8176, 0.0599)  1 B 2.10
Pd (0.2703, 0.5409, 0.5557)  2 B 2.12-2.21
Pd (0.7297, 0.4591, 0.4443)  2 B 2.12-2.21
Pd (0.2146, 0.9852, 0.4443)  2 B 2.12-2.21
Pd (0.3837, 0.1824, 0.9401)  1 B 2.10
Pd (0.7854, 0.0148, 0.5557)  2 B 2.12-2.21
Pd (0.0565, 0.7578, 0.9401)  1 B 2.10

2.
Compound: Ni2B2Pd
Source: the Alexandria database
Functional: PBE
Structure: optimized geometry

Summary:
theoretical density: 8.52 g/cm3
density of states at the Fermi level: 1.9 states/eV/f.u.
DFT formation energy: -0.56 eV per formula unit
calculated volume: 9.56 A^3/atom
energy above the lowest structure with this stoichiometry: 0.000 eV per atom

Unit cell a=5.7633 b=5.7633 c=2.8791 alpha=90.00 beta=90.00 gamma=90.00
With the nearest neighbours (Å) after each atom.
Atoms (fractional coordinates):
Ni (0.1515, 0.6515, 0.5000)  4 B 2.12
Ni (0.6515, 0.8485, 0.5000)  4 B 2.12
Ni (0.8485, 0.3485, 0.5000)  4 B 2.12
Ni (0.3485, 0.1515, 0.5000)  4 B 2.12
B (0.3838, 0.8838, 0.0000)  1 B 1.89, 4 Ni 2.12
B (0.8838, 0.6162, 0.0000)  1 B 1.89, 4 Ni 2.12
B (0.6162, 0.1162, 0.0000)  1 B 1.89, 4 Ni 2.12
B (0.1162, 0.3838, 0.0000)  1 B 1.89, 4 Ni 2.12
Pd (0.0000, 0.0000, 0.0000)  4 B 2.31
Pd (0.5000, 0.5000, 0.0000)  4 B 2.31

3.
Compound: Ni2B2Pd
Source: the Alexandria database
Functional: PBE
Structure: optimized geometry

Summary:
theoretical density: 8.08 g/cm3
density of states at the Fermi level: 1.9 states/eV/f.u.
DFT formation energy: -0.24 eV per formula unit
calculated volume: 10.09 A^3/atom
energy above the lowest structure with this stoichiometry: 0.064 eV per atom

Unit cell a=2.7639 b=2.7639 c=6.8843 alpha=78.42 beta=78.42 gamma=90.00
With the nearest neighbours (Å) after each atom.
Atoms (fractional coordinates):
Ni (0.3608, 0.3608, 0.2783)  4 B 2.01
Ni (0.6392, 0.6392, 0.7217)  4 B 2.01
B (0.7500, 0.2500, 0.5000)  4 B 1.95, 4 Ni 2.01
B (0.2500, 0.7500, 0.5000)  4 B 1.95, 4 Ni 2.01
Pd (0.0000, 0.0000, 0.0000)  8 Ni 2.68, 4 Pd 2.76

4.
Compound: Ni2BPd2
Source: the Alexandria database
Functional: PBE
Structure: optimized geometry

Summary:
theoretical density: 9.31 g/cm3
density of states at the Fermi level: 5.4 states/eV/f.u.
DFT formation energy: 0.34 eV per formula unit
calculated volume: 12.17 A^3/atom

Unit cell a=5.2490 b=5.2490 c=4.4159 alpha=90.00 beta=90.00 gamma=90.00
With the nearest neighbours (Å) after each atom.
Atoms (fractional coordinates):
Ni (0.3417, 0.8417, 0.0000)  2 B 1.98
Ni (0.8417, 0.6583, 0.0000)  2 B 1.98
Ni (0.6583, 0.1583, 0.0000)  2 B 1.98
Ni (0.1583, 0.3417, 0.0000)  2 B 1.98
B (0.0000, 0.0000, 0.0000)  4 Ni 1.98
B (0.5000, 0.5000, 0.0000)  4 Ni 1.98
Pd (0.1781, 0.6780, 0.5000)  2 Ni 2.52, 5 Pd 2.64-2.73
Pd (0.6780, 0.8220, 0.5000)  2 Ni 2.52, 5 Pd 2.64-2.73
Pd (0.8220, 0.3220, 0.5000)  2 Ni 2.52, 5 Pd 2.64-2.73
Pd (0.3220, 0.1781, 0.5000)  2 Ni 2.52, 5 Pd 2.64-2.73

5.
Compound: NiBPd2
Source: the Alexandria database
Functional: PBE
Structure: optimized geometry

Summary:
theoretical density: 9.84 g/cm3
density of states at the Fermi level: 2.2 states/eV/f.u.
DFT formation energy: -0.66 eV per formula unit
calculated volume: 11.91 A^3/atom

Unit cell a=2.9153 b=4.7793 c=6.8369 alpha=90.00 beta=90.00 gamma=90.00
With the nearest neighbours (Å) after each atom.
Atoms (fractional coordinates):
Ni (0.0000, 0.5000, 0.5000)  4 B 2.12
Ni (0.0000, 0.0000, 0.5000)  4 B 2.12
B (0.5000, 0.2500, 0.6409)  4 Ni 2.12, 2 Pd 2.12
B (0.5000, 0.7500, 0.3591)  4 Ni 2.12, 2 Pd 2.12
Pd (0.0000, 0.2500, 0.8669)  2 B 2.12
Pd (0.0000, 0.7500, 0.1331)  2 B 2.12
Pd (0.5000, 0.2500, 0.2259)  3 B 2.56-2.84, 4 Ni 2.66, 2 Pd 2.85
Pd (0.5000, 0.7500, 0.7741)  3 B 2.56-2.84, 4 Ni 2.66, 2 Pd 2.85

6.
Compound: Ni6B3Pd
Source: the Alexandria database
Functional: PBE
Structure: optimized geometry

Summary:
theoretical density: 8.27 g/cm3
density of states at the Fermi level: 4.7 states/eV/f.u.
DFT formation energy: -2.01 eV per formula unit
calculated volume: 9.86 A^3/atom

Unit cell a=3.0236 b=8.0287 c=8.1301 alpha=92.59 beta=90.00 gamma=90.00
With the nearest neighbours (Å) after each atom.
Atoms (fractional coordinates):
Ni (0.7500, 0.3978, 0.5749)  3 B 2.05-2.12
Ni (0.2500, 0.6022, 0.4251)  3 B 2.05-2.12
Ni (0.7500, 0.8737, 0.9797)  2 B 2.03
Ni (0.2500, 0.1263, 0.0203)  2 B 2.03
Ni (0.7500, 0.3779, 0.0577)  4 B 2.05-2.21
Ni (0.2500, 0.6221, 0.9423)  4 B 2.05-2.21
Ni (0.7500, 0.6616, 0.1962)  3 B 1.96-2.13
Ni (0.2500, 0.3384, 0.8038)  3 B 1.96-2.13
Ni (0.7500, 0.1096, 0.4401)  3 B 2.01-2.09
Ni (0.2500, 0.8904, 0.5599)  3 B 2.01-2.09
Ni (0.7500, 0.7057, 0.7035)  3 B 2.00-2.12
Ni (0.2500, 0.2943, 0.2965)  3 B 2.00-2.12
B (0.7500, 0.4929, 0.8230)  7 Ni 1.96-2.16
B (0.2500, 0.5071, 0.1770)  7 Ni 1.96-2.16
B (0.7500, 0.7747, 0.4380)  6 Ni 2.01-2.25
B (0.2500, 0.2253, 0.5620)  6 Ni 2.01-2.25
B (0.7500, 0.1409, 0.1861)  6 Ni 2.03-2.21
B (0.2500, 0.8591, 0.8139)  6 Ni 2.03-2.21
Pd (0.7500, 0.0787, 0.7512)  4 B 2.39-2.49, 8 Ni 2.54-2.67
Pd (0.2500, 0.9213, 0.2488)  4 B 2.39-2.49, 8 Ni 2.54-2.67

Energy (computed, hartree per atom): -0.202 -0.225 -0.223 -0.208 -0.216 -0.228